# 1
# Rb2CrCN PBE optimized geometry
# VASP energy ... -4.15 eV per atom
# Formation energy without anion corrections ... 1.6750 eV per atom
data_Rb2CrCN
_space_group_name_H-M_alt 'P 1'
_space_group_IT_number 1
_cell_length_a 6.431
_cell_length_b 3.567
_cell_length_c 6.431
_cell_angle_alpha 90.00
_cell_angle_beta 90.00
_cell_angle_gamma 90.00
loop_
_space_group_symop_operation_xyz
'x,y,z'
loop_
_atom_site_label
_atom_site_type_symbol
_atom_site_fract_x
_atom_site_fract_y
_atom_site_fract_z
Cr1 Cr 0.000 0.000 0.000
C1 C 0.500 0.500 0.500
Rb1 Rb 0.000 0.000 0.500
Rb2 Rb 0.500 0.000 0.000
N1 N 0.000 0.500 0.000

***

# 2
# CsRb2InAg PBE optimized geometry
# Energy above the most stable polymorph in this dataset ... 0.533 eV/atom
# VASP energy ... -1.08 eV per atom
# Energy of formation from the pure elements ... 0.59 eV/atom
data_CsRb2InAg
_space_group_name_H-M_alt 'P 1'
_space_group_IT_number 1
_cell_length_a 7.688
_cell_length_b 6.198
_cell_length_c 7.688
_cell_angle_alpha 90.00
_cell_angle_beta 90.00
_cell_angle_gamma 90.00
loop_
_space_group_symop_operation_xyz
'x,y,z'
loop_
_atom_site_label
_atom_site_type_symbol
_atom_site_fract_x
_atom_site_fract_y
_atom_site_fract_z
Cs1 Cs 0.000 0.000 0.000
Rb1 Rb 0.000 0.000 0.500
Rb2 Rb 0.500 0.000 0.000
Ag1 Ag 0.000 0.500 0.000
In1 In 0.500 0.500 0.500

***

# 3
# AgH8Pd4 PBE optimized geometry
# VASP energy ... -3.86 eV per atom
data_AgH8Pd4
_space_group_name_H-M_alt 'P 1'
_space_group_IT_number 1
_cell_length_a 5.673
_cell_length_b 5.673
_cell_length_c 5.673
_cell_angle_alpha 60.00
_cell_angle_beta 60.00
_cell_angle_gamma 60.00
loop_
_space_group_symop_operation_xyz
'x,y,z'
loop_
_atom_site_label
_atom_site_type_symbol
_atom_site_fract_x
_atom_site_fract_y
_atom_site_fract_z
Ag1 Ag 0.750 0.750 0.750
H1 H 0.562 0.146 0.146
H2 H 0.146 0.562 0.146
H3 H 0.146 0.146 0.562
H4 H 0.146 0.146 0.146
H5 H 0.177 0.608 0.608
H6 H 0.608 0.177 0.608
H7 H 0.608 0.608 0.177
H8 H 0.608 0.608 0.608
Pd1 Pd 0.877 0.374 0.374
Pd2 Pd 0.374 0.877 0.374
Pd3 Pd 0.374 0.374 0.877
Pd4 Pd 0.374 0.374 0.374

***

# 4
# ScTlBiRu2 PBE optimized geometry
# VASP energy ... -4.98 eV per atom
# Energy of formation from the pure elements ... 1.24 eV/atom
data_ScTlBiRu2
_space_group_name_H-M_alt 'P 1'
_space_group_IT_number 1
_cell_length_a 5.031
_cell_length_b 5.377
_cell_length_c 5.031
_cell_angle_alpha 90.00
_cell_angle_beta 90.00
_cell_angle_gamma 90.00
loop_
_space_group_symop_operation_xyz
'x,y,z'
loop_
_atom_site_label
_atom_site_type_symbol
_atom_site_fract_x
_atom_site_fract_y
_atom_site_fract_z
Sc1 Sc 0.000 0.500 0.000
Ru1 Ru 0.000 0.000 0.500
Ru2 Ru 0.500 0.000 0.000
Tl1 Tl 0.500 0.500 0.500
Bi1 Bi 0.000 0.000 0.000

***

# 5
# MgRe3Rh PBE optimized geometry
# Energy above the most stable polymorph in this dataset ... 0.000 eV/atom
# VASP energy ... -7.21 eV per atom
# Energy of formation from the pure elements ... 2.05 eV/atom
data_MgRe3Rh
_space_group_name_H-M_alt 'P 1'
_space_group_IT_number 1
_cell_length_a 4.696
_cell_length_b 4.696
_cell_length_c 4.696
_cell_angle_alpha 90.00
_cell_angle_beta 90.00
_cell_angle_gamma 90.00
loop_
_space_group_symop_operation_xyz
'x,y,z'
loop_
_atom_site_label
_atom_site_type_symbol
_atom_site_fract_x
_atom_site_fract_y
_atom_site_fract_z
Re1 Re 0.000 0.500 0.000
Re2 Re 0.000 0.000 0.500
Re3 Re 0.500 0.000 0.000
Mg1 Mg 0.500 0.500 0.500
Rh1 Rh 0.000 0.000 0.000

***

# 6
# CsHg3Pd PBE optimized geometry
# Energy above the most stable polymorph in this dataset ... 0.312 eV/atom
# VASP energy ... -1.35 eV per atom
# Energy of formation from the pure elements ... 0.04 eV/atom
data_CsHg3Pd
_space_group_name_H-M_alt 'P 1'
_space_group_IT_number 1
_cell_length_a 7.060
_cell_length_b 7.060
_cell_length_c 7.060
_cell_angle_alpha 88.20
_cell_angle_beta 88.20
_cell_angle_gamma 88.20
loop_
_space_group_symop_operation_xyz
'x,y,z'
loop_
_atom_site_label
_atom_site_type_symbol
_atom_site_fract_x
_atom_site_fract_y
_atom_site_fract_z
Cs1 Cs 0.000 0.000 0.000
Cs2 Cs 0.500 0.500 0.500
Hg1 Hg 0.971 0.529 0.250
Hg2 Hg 0.529 0.250 0.971
Hg3 Hg 0.250 0.971 0.529
Hg4 Hg 0.750 0.029 0.471
Hg5 Hg 0.471 0.750 0.029
Hg6 Hg 0.029 0.471 0.750
Pd1 Pd 0.250 0.250 0.250
Pd2 Pd 0.750 0.750 0.750

***

# 7
# Ho2ErFe PBE optimized geometry
# Energy above the most stable polymorph in this dataset ... 0.000 eV/atom
# VASP energy ... -5.57 eV per atom
# Energy of formation from the pure elements ... -0.03 eV/atom
data_Ho2ErFe
_space_group_name_H-M_alt 'P 1'
_space_group_IT_number 1
_cell_length_a 6.200
_cell_length_b 7.028
_cell_length_c 9.090
_cell_angle_alpha 90.00
_cell_angle_beta 90.00
_cell_angle_gamma 90.00
loop_
_space_group_symop_operation_xyz
'x,y,z'
loop_
_atom_site_label
_atom_site_type_symbol
_atom_site_fract_x
_atom_site_fract_y
_atom_site_fract_z
Ho1 Ho 0.173 0.674 0.066
Ho2 Ho 0.327 0.174 0.434
Ho3 Ho 0.827 0.326 0.566
Ho4 Ho 0.673 0.826 0.934
Ho5 Ho 0.827 0.326 0.934
Ho6 Ho 0.673 0.826 0.566
Ho7 Ho 0.173 0.674 0.434
Ho8 Ho 0.327 0.174 0.066
Er1 Er 0.638 0.548 0.250
Er2 Er 0.862 0.048 0.250
Er3 Er 0.362 0.452 0.750
Er4 Er 0.138 0.952 0.750
Fe1 Fe 0.034 0.389 0.250
Fe2 Fe 0.466 0.889 0.250
Fe3 Fe 0.966 0.611 0.750
Fe4 Fe 0.534 0.111 0.750

***

# 8
# RbCuTe6Au PBE optimized geometry
# VASP energy ... -3.14 eV per atom
# Formation energy without anion corrections ... -0.1214 eV per atom
data_RbCuTe6Au
_space_group_name_H-M_alt 'P 1'
_space_group_IT_number 1
_cell_length_a 9.934
_cell_length_b 8.900
_cell_length_c 9.636
_cell_angle_alpha 117.50
_cell_angle_beta 121.03
_cell_angle_gamma 90.00
loop_
_space_group_symop_operation_xyz
'x,y,z'
loop_
_atom_site_label
_atom_site_type_symbol
_atom_site_fract_x
_atom_site_fract_y
_atom_site_fract_z
Rb1 Rb 0.896 0.646 0.792
Rb2 Rb 0.104 0.354 0.208
Cu1 Cu 0.500 0.500 0.000
Cu2 Cu 0.500 0.000 0.000
Te1 Te 0.373 0.623 0.746
Te2 Te 0.840 0.090 0.679
Te3 Te 0.826 0.100 0.221
Te4 Te 0.395 0.621 0.221
Te5 Te 0.395 0.100 0.221
Te6 Te 0.826 0.621 0.221
Te7 Te 0.627 0.377 0.254
Te8 Te 0.160 0.910 0.321
Te9 Te 0.174 0.900 0.779
Te10 Te 0.605 0.379 0.779
Te11 Te 0.605 0.900 0.779
Te12 Te 0.174 0.379 0.779
Au1 Au 0.500 0.000 0.500
Au2 Au 0.000 0.000 0.500

***

# 9
# MgCNO2 PBE optimized geometry
# VASP energy ... -5.57 eV per atom
# Formation energy without anion corrections ... 0.2391 eV per atom
data_MgCNO2
_space_group_name_H-M_alt 'P 1'
_space_group_IT_number 1
_cell_length_a 4.031
_cell_length_b 4.031
_cell_length_c 2.578
_cell_angle_alpha 90.00
_cell_angle_beta 90.00
_cell_angle_gamma 90.00
loop_
_space_group_symop_operation_xyz
'x,y,z'
loop_
_atom_site_label
_atom_site_type_symbol
_atom_site_fract_x
_atom_site_fract_y
_atom_site_fract_z
Mg1 Mg 0.500 0.500 0.500
C1 C 0.000 0.000 0.000
O1 O 0.000 0.500 0.000
O2 O 0.500 0.000 0.000
N1 N 0.000 0.000 0.500

***

# 10
# Sm2ScCd2 PBE optimized geometry
# Energy above the most stable polymorph in this dataset ... 0.000 eV/atom
# VASP energy ... -3.73 eV per atom
# Energy of formation from the pure elements ... -0.21 eV/atom
data_Sm2ScCd2
_space_group_name_H-M_alt 'P 1'
_space_group_IT_number 1
_cell_length_a 3.652
_cell_length_b 5.229
_cell_length_c 14.051
_cell_angle_alpha 90.00
_cell_angle_beta 97.44
_cell_angle_gamma 90.00
loop_
_space_group_symop_operation_xyz
'x,y,z'
loop_
_atom_site_label
_atom_site_type_symbol
_atom_site_fract_x
_atom_site_fract_y
_atom_site_fract_z
Sm1 Sm 0.043 0.750 0.086
Sm2 Sm 0.957 0.250 0.914
Sm3 Sm 0.234 0.750 0.470
Sm4 Sm 0.766 0.250 0.530
Sc1 Sc 0.848 0.750 0.696
Sc2 Sc 0.152 0.250 0.304
Cd1 Cd 0.639 0.750 0.278
Cd2 Cd 0.361 0.250 0.722
Cd3 Cd 0.437 0.750 0.875
Cd4 Cd 0.563 0.250 0.125

***

# 11
# La4Dy2Sc PBE optimized geometry
# VASP energy ... -4.88 eV per atom
# Energy of formation from the pure elements ... 0.15 eV/atom
data_La4Dy2Sc
_space_group_name_H-M_alt 'P 1'
_space_group_IT_number 1
_cell_length_a 13.365
_cell_length_b 6.901
_cell_length_c 6.784
_cell_angle_alpha 67.21
_cell_angle_beta 118.07
_cell_angle_gamma 119.87
loop_
_space_group_symop_operation_xyz
'x,y,z'
loop_
_atom_site_label
_atom_site_type_symbol
_atom_site_fract_x
_atom_site_fract_y
_atom_site_fract_z
La1 La 0.953 0.657 0.773
La2 La 0.263 0.063 0.755
La3 La 0.904 0.085 0.344
La4 La 0.382 0.069 0.347
La5 La 0.782 0.065 0.768
La6 La 0.370 0.530 0.251
La7 La 0.883 0.544 0.242
La8 La 0.455 0.654 0.767
Dy1 Dy 0.587 0.021 0.175
Dy2 Dy 0.638 0.454 0.730
Dy3 Dy 0.141 0.469 0.724
Dy4 Dy 0.653 0.555 0.239
Sc1 Sc 0.147 0.551 0.230
Sc2 Sc 0.094 0.033 0.154

***

# 12
# AlV3 PBE optimized geometry
# VASP energy ... -7.87 eV per atom
# Energy of formation from the pure elements ... -0.09 eV/atom
data_AlV3
_space_group_name_H-M_alt 'P 1'
_space_group_IT_number 1
_cell_length_a 2.627
_cell_length_b 2.627
_cell_length_c 8.467
_cell_angle_alpha 90.00
_cell_angle_beta 90.00
_cell_angle_gamma 107.58
loop_
_space_group_symop_operation_xyz
'x,y,z'
loop_
_atom_site_label
_atom_site_type_symbol
_atom_site_fract_x
_atom_site_fract_y
_atom_site_fract_z
Al1 Al 0.000 0.000 0.000
V1 V 0.500 0.500 0.257
V2 V 0.000 0.000 0.500
V3 V 0.500 0.500 0.743

***

# 13
# LiZr2Te PBE optimized geometry
# VASP energy ... -5.55 eV per atom
# Formation energy without anion corrections ... -0.0154 eV per atom
data_LiZr2Te
_space_group_name_H-M_alt 'P 1'
_space_group_IT_number 1
_cell_length_a 7.832
_cell_length_b 7.832
_cell_length_c 6.261
_cell_angle_alpha 51.29
_cell_angle_beta 51.29
_cell_angle_gamma 90.00
loop_
_space_group_symop_operation_xyz
'x,y,z'
loop_
_atom_site_label
_atom_site_type_symbol
_atom_site_fract_x
_atom_site_fract_y
_atom_site_fract_z
Te1 Te 0.000 0.000 0.000
Te2 Te 0.750 0.250 0.500
Zr1 Zr 0.630 0.125 0.250
Zr2 Zr 0.120 0.625 0.250
Zr3 Zr 0.375 0.370 0.750
Zr4 Zr 0.875 0.880 0.750
Li1 Li 0.500 0.500 0.000
Li2 Li 0.250 0.750 0.500